No. 1
The following is a PBE calculation of TeRuC2 after structural relaxation, from Alexandria via LeMat-Bulk.

The structure in CIF format:
```
data_TeRuC2
_chemical_formula_sum 'Te4 Ru4 C8'
_cell_length_a 5.140
_cell_length_b 5.140
_cell_length_c 9.294
_cell_angle_alpha 90.00
_cell_angle_beta 90.00
_cell_angle_gamma 90.00
_symmetry_space_group_name_H-M 'I -4 2 d'
_symmetry_Int_Tables_number 122
_symmetry_space_group_name_Hall 'I -4 2bw'
loop_
_atom_site_label
_atom_site_fract_x
_atom_site_fract_y
_atom_site_fract_z
Te1 0.000 0.000 0.000
Ru1 0.000 0.000 0.500
C1 0.182 0.250 0.625
```

As for the crystal system: tetragonal. The value obtained for the uncorrected formation energy is 4.9 eV per formula unit. The calculation puts the raw total energy at -6.49 eV/atom.

=====

No. 2
The following is a PBE calculation of Rb3SmGa2O6 after structural relaxation, from Alexandria via LeMat-Bulk.

The structure in CIF format:
```
data_Rb3SmGa2O6
_chemical_formula_sum 'Rb3 Sm1 Ga2 O6'
_cell_length_a 6.2601
_cell_length_b 6.2601
_cell_length_c 7.4808
_cell_angle_alpha 90.00
_cell_angle_beta 90.00
_cell_angle_gamma 120.00
_symmetry_space_group_name_H-M 'P -3 m 1'
_symmetry_Int_Tables_number 164
_symmetry_space_group_name_Hall '-P 3 2"'
loop_
_atom_site_label
_atom_site_fract_x
_atom_site_fract_y
_atom_site_fract_z
Rb1 0.0000 0.0000 0.0000
Rb2 0.3333 0.6667 0.7486
Sm1 0.0000 0.0000 0.5000
Ga1 0.3333 0.6667 0.3010
O1 0.1684 0.3368 0.3010
```

As for the crystal system: trigonal. The value obtained for the uncorrected formation energy is -23.6 eV per formula unit. The calculation puts the raw total energy at -5.58 eV/atom.

=====

No. 3
The following is a PBE calculation of CaSc2Fe after structural relaxation, from Alexandria via LeMat-Bulk.

The structure in CIF format:
```
data_CaSc2Fe
_chemical_formula_sum 'Ca4 Sc8 Fe4'
_cell_length_a 7.110
_cell_length_b 7.110
_cell_length_c 7.110
_cell_angle_alpha 90.00
_cell_angle_beta 90.00
_cell_angle_gamma 90.00
_symmetry_space_group_name_H-M 'F -4 3 m'
_symmetry_Int_Tables_number 216
_symmetry_space_group_name_Hall 'F -4 2 3'
loop_
_atom_site_label
_atom_site_fract_x
_atom_site_fract_y
_atom_site_fract_z
Ca1 0.000 0.000 0.000
Sc1 0.000 0.000 0.500
Sc2 0.250 0.250 0.250
Fe1 0.250 0.250 0.750
```

As for the crystal system: cubic. The calculation puts the raw total energy at -5.33 eV/atom. As for the energy of formation from the pure elements: 0.45 eV/atom.

=====

No. 4
The following is a PBE calculation of SnBi2Pb after structural relaxation, from Alexandria via LeMat-Bulk.

The structure in CIF format:
```
data_SnBi2Pb
_chemical_formula_sum 'Sn2 Bi4 Pb2'
_cell_length_a 4.188
_cell_length_b 5.509
_cell_length_c 10.676
_cell_angle_alpha 90.00
_cell_angle_beta 90.00
_cell_angle_gamma 90.00
_symmetry_space_group_name_H-M 'C m m 2'
_symmetry_Int_Tables_number 35
loop_
_symmetry_equiv_pos_as_xyz
'x,y,z'
'-x,-y,z'
'-x,y,z'
'x,-y,z'
'x+1/2,y+1/2,z'
'-x+1/2,-y+1/2,z'
'-x+1/2,y+1/2,z'
'x+1/2,-y+1/2,z'
loop_
_atom_site_label
_atom_site_fract_x
_atom_site_fract_y
_atom_site_fract_z
Sn1 0.000 0.000 0.000
Bi1 0.000 0.000 0.498
Bi2 0.000 0.500 0.768
Pb1 0.000 0.500 0.253
```

As for the crystal system: orthorhombic. The calculation puts the raw total energy at -3.78 eV/atom. As for the energy of formation from the pure elements: 0.09 eV/atom.

=====

No. 5
The following is a PBE calculation of Ac4CoPb after structural relaxation, from Alexandria via LeMat-Bulk.

The structure in CIF format:
```
data_Ac4CoPb
_chemical_formula_sum 'Ac16 Co4 Pb4'
_cell_length_a 17.911
_cell_length_b 7.562
_cell_length_c 6.611
_cell_angle_alpha 90.00
_cell_angle_beta 107.90
_cell_angle_gamma 90.00
_symmetry_space_group_name_H-M 'C 1 2/m 1'
_symmetry_Int_Tables_number 12
loop_
_symmetry_equiv_pos_as_xyz
'x,y,z'
'-x,-y,-z'
'-x,y,-z'
'x,-y,z'
'x+1/2,y+1/2,z'
'-x+1/2,-y+1/2,-z'
'-x+1/2,y+1/2,-z'
'x+1/2,-y+1/2,z'
loop_
_atom_site_label
_atom_site_fract_x
_atom_site_fract_y
_atom_site_fract_z
Ac1 0.000 0.244 0.000
Ac2 0.115 0.251 0.603
Ac3 0.194 0.500 0.189
Co1 0.027 0.500 0.334
Pb1 0.195 0.000 0.207
```

As for the crystal system: monoclinic. The calculation puts the raw total energy at -4.72 eV/atom. As for the energy of formation from the pure elements: -0.18 eV/atom.

=====

No. 6
The following is a PBE calculation of CsTmCd2Cl8 after structural relaxation, from Alexandria via LeMat-Bulk.

The structure in CIF format:
```
data_CsTmCd2Cl8
_chemical_formula_sum 'Cs1 Tm1 Cd2 Cl8'
_cell_length_a 6.650
_cell_length_b 6.721
_cell_length_c 9.495
_cell_angle_alpha 73.91
_cell_angle_beta 75.94
_cell_angle_gamma 74.56
_symmetry_space_group_name_H-M 'P -1'
_symmetry_Int_Tables_number 2
loop_
_symmetry_equiv_pos_as_xyz
'x,y,z'
'-x,-y,-z'
loop_
_atom_site_label
_atom_site_fract_x
_atom_site_fract_y
_atom_site_fract_z
Cs1 0.000 0.000 0.000
Tm1 0.000 0.000 0.500
Cd1 0.451 0.444 0.224
Cl1 0.168 0.717 0.718
Cl2 0.260 0.802 0.302
Cl3 0.267 0.236 0.471
Cl4 0.378 0.298 0.026
```

As for the crystal system: triclinic. The value obtained for the uncorrected formation energy is -19.3 eV per formula unit. The calculation puts the raw total energy at -3.44 eV/atom.

=====

No. 7
The following is a PBE calculation of AlCo2H2 after structural relaxation, from Alexandria via LeMat-Bulk.

The structure in CIF format:
```
data_AlCo2H2
_chemical_formula_sum 'Al2 Co4 H4'
_cell_length_a 2.829
_cell_length_b 2.829
_cell_length_c 9.785
_cell_angle_alpha 90.00
_cell_angle_beta 90.00
_cell_angle_gamma 90.00
_symmetry_space_group_name_H-M 'I 4/m m m'
_symmetry_Int_Tables_number 139
_symmetry_space_group_name_Hall '-I 4 2'
loop_
_atom_site_label
_atom_site_fract_x
_atom_site_fract_y
_atom_site_fract_z
Al1 0.000 0.000 0.000
Co1 0.000 0.000 0.351
H1 0.000 0.500 0.250
```

As for the crystal system: tetragonal. The calculation puts the raw total energy at -5.11 eV/atom.

=====

No. 8
The following is a PBE calculation of Fe2NiPt6 after structural relaxation, from Alexandria via LeMat-Bulk.

The structure in CIF format:
```
data_Fe2NiPt6
_chemical_formula_sum 'Fe8 Ni4 Pt24'
_cell_length_a 3.906
_cell_length_b 11.377
_cell_length_c 11.768
_cell_angle_alpha 90.00
_cell_angle_beta 90.00
_cell_angle_gamma 90.00
_symmetry_space_group_name_H-M 'F m m m'
_symmetry_Int_Tables_number 69
_symmetry_space_group_name_Hall '-F 2 2'
loop_
_atom_site_label
_atom_site_fract_x
_atom_site_fract_y
_atom_site_fract_z
Fe1 0.000 0.000 0.160
Ni1 0.000 0.000 0.500
Pt1 0.000 0.155 0.332
Pt2 0.000 0.160 0.000
```

As for the crystal system: orthorhombic. The calculation puts the raw total energy at -6.76 eV/atom. As for the energy of formation from the pure elements: -0.21 eV/atom.